(1)
# LaMn2Au | Alexandria | PBE | optimized geometry
data_LaMn2Au
_space_group_name_H-M_alt 'R -3 m'
_space_group_IT_number 166
_space_group_name_Hall '-R 3 2"'
_cell_length_a 4.5066
_cell_length_b 4.5066
_cell_length_c 14.8795
_cell_angle_alpha 90.00
_cell_angle_beta 90.00
_cell_angle_gamma 120.00
loop_
_atom_site_label
_atom_site_type_symbol
_atom_site_fract_x
_atom_site_fract_y
_atom_site_fract_z
_atom_site_occupancy
La1 La 0.0000 0.0000 0.0000 1
Mn1 Mn 0.0000 0.0000 0.2052 1
Au1 Au 0.0000 0.0000 0.5000 1
# - Crystal system: trigonal
# - Calculated total energy: -78.9 eV per cell
# - DFT formation energy: 0.060 eV per atom

---

(2)
# Co2As | Alexandria | PBE | optimized geometry
data_Co2As
_space_group_name_H-M_alt 'P -3 m 1'
_space_group_IT_number 164
_space_group_name_Hall '-P 3 2"'
_cell_length_a 2.7686
_cell_length_b 2.7686
_cell_length_c 5.7561
_cell_angle_alpha 90.00
_cell_angle_beta 90.00
_cell_angle_gamma 120.00
loop_
_atom_site_label
_atom_site_type_symbol
_atom_site_fract_x
_atom_site_fract_y
_atom_site_fract_z
_atom_site_occupancy
Co1 Co 0.3333 0.6667 0.3369 1
As1 As 0.0000 0.0000 0.0000 1
# - Crystal system: trigonal
# - Calculated total energy: -18.3 eV per cell
# - DFT formation energy: 0.200 eV per atom

---

(3)
# CuSe2Cl | Alexandria | PBE | optimized geometry
data_CuSe2Cl
_space_group_name_H-M_alt 'C 1 m 1'
_space_group_IT_number 8
_cell_length_a 8.490
_cell_length_b 3.430
_cell_length_c 7.402
_cell_angle_alpha 90.00
_cell_angle_beta 104.11
_cell_angle_gamma 90.00
loop_
_space_group_symop_operation_xyz
'x,y,z'
'x,-y,z'
'x+1/2,y+1/2,z'
'x+1/2,-y+1/2,z'
loop_
_atom_site_label
_atom_site_type_symbol
_atom_site_fract_x
_atom_site_fract_y
_atom_site_fract_z
_atom_site_occupancy
Cu1 Cu 0.000 0.000 0.000 1
Se1 Se 0.349 0.000 0.793 1
Se2 Se 0.488 0.000 0.570 1
Cl1 Cl 0.140 0.500 0.174 1
# - Crystal system: monoclinic
# - Calculated total energy: -27.1 eV per cell
# - Raw formation energy: -15 kJ/mol of atoms

---

(4)
# PAu2Br | Alexandria | PBE | optimized geometry
data_PAu2Br
_space_group_name_H-M_alt 'P 1 m 1'
_space_group_IT_number 6
_cell_length_a 3.945
_cell_length_b 3.615
_cell_length_c 6.955
_cell_angle_alpha 90.00
_cell_angle_beta 93.34
_cell_angle_gamma 90.00
loop_
_space_group_symop_operation_xyz
'x,y,z'
'x,-y,z'
loop_
_atom_site_label
_atom_site_type_symbol
_atom_site_fract_x
_atom_site_fract_y
_atom_site_fract_z
_atom_site_occupancy
P1 P 0.000 0.000 0.000 1
Au1 Au 0.350 0.500 0.895 1
Au2 Au 0.715 0.000 0.689 1
Br1 Br 0.670 0.500 0.404 1
# - Crystal system: monoclinic
# - Calculated total energy: -13.2 eV per cell
# - Raw formation energy: 11 kJ/mol of atoms